Compound: Ba2Ti4Fe2O13
Source: the Alexandria database
Functional: PBE with a Hubbard U
Structure: optimized geometry

Output
Its density of states at the Fermi level is 0.000 states/eV/cell. The calculation puts the total energy at -7.994 eV/atom. As for the symmetry: C2/m (12).

Cell: 7.9501 7.9501 9.2512 Å, 81.62 81.62 28.62°
Last column: nearest neighbours and their distance in Å.
Sites, in units of the cell vectors:
O 0.3691 0.3691 0.1120  2 Ti 1.98, 1 Fe 2.11
Ba 0.5493 0.5493 0.2321  6 O 2.70-2.85
Ti 0.1217 0.1217 0.9130  4 O 1.82-1.98
O 0.6309 0.6309 0.8880  2 Ti 1.98, 1 Fe 2.11
O 0.9302 0.9302 0.3024  1 Ti 1.80
O 0.0698 0.0698 0.6976  1 Ti 1.80
Ti 0.8783 0.8783 0.0870  4 O 1.82-1.98
Ti 0.1672 0.1672 0.5629  2 O 1.80-1.83
O 0.8353 0.8353 0.9147  1 Ti 1.82, 1 Fe 1.96
Ba 0.4507 0.4507 0.7679  6 O 2.70-2.85
O 0.7659 0.7659 0.2394  2 Fe 2.00, 2 Ti 2.06-2.23
Ti 0.8328 0.8328 0.4371  2 O 1.80-1.83
O 0.8706 0.8706 0.6153  1 Ti 1.83
Fe 0.7579 0.7579 0.7647  6 O 1.96-2.13
Fe 0.2421 0.2421 0.2353  6 O 1.96-2.13
O 0.1647 0.1647 0.0853  1 Ti 1.82, 1 Fe 1.96
O 0.2341 0.2341 0.7606  2 Fe 2.00, 2 Ti 2.06-2.23
O 0.0000 0.0000 0.0000  2 Ti 1.93
O 0.2998 0.2998 0.4300  3 Ti 2.03-2.22, 1 Fe 2.13
O 0.7002 0.7002 0.5700  3 Ti 2.03-2.22, 1 Fe 2.13
O 0.1294 0.1294 0.3847  1 Ti 1.83